{"formula": "LaCePr6Nd2", "functional": "GGA-PBE", "state": "optimized geometry", "lattice": [[5.7798, -3.5240, 0.0000], [5.7798, 3.5240, 0.0000], [-2.2326, 0.0000, 8.8184]], "species": ["La", "Ce", "Pr", "Pr", "Pr", "Pr", "Pr", "Pr", "Nd", "Nd"], "fractional_positions": [[0.0000, 0.0000, 0.0000], [0.5000, 0.5000, 0.5000], [0.0624, 0.5869, 0.6988], [0.3737, 0.3737, 0.0850], [0.4131, 0.9376, 0.3012], [0.5869, 0.0624, 0.6988], [0.6263, 0.6263, 0.9150], [0.9376, 0.4131, 0.3012], [0.0904, 0.0904, 0.6600], [0.9096, 0.9096, 0.3400]], "ef_ev_per_atom": 0.2123, "crystal_system": "monoclinic", "dos_at_fermi_per_ev_cell": 21.9, "final_energy_ev_per_atom": -4.70, "magnetic_moment_mub_per_cell": 1.0, "density_g_cm3": 6.5}



{"formula": "La6CePrNd2", "functional": "GGA-PBE", "state": "optimized geometry", "lattice": [[5.7197, -3.5865, 0.0000], [5.7197, 3.5865, 0.0000], [-2.1476, 0.0000, 8.8501]], "species": ["La", "La", "La", "La", "La", "La", "Ce", "Pr", "Nd", "Nd"], "fractional_positions": [[0.0905, 0.5616, 0.2028], [0.1260, 0.1260, 0.4141], [0.4384, 0.9095, 0.7972], [0.5616, 0.0905, 0.2028], [0.8740, 0.8740, 0.5859], [0.9095, 0.4384, 0.7972], [0.0000, 0.0000, 0.0000], [0.5000, 0.5000, 0.5000], [0.4050, 0.4050, 0.8436], [0.5950, 0.5950, 0.1564]], "ef_ev_per_atom": 0.1976, "crystal_system": "monoclinic", "dos_at_fermi_per_ev_cell": 21.5, "final_energy_ev_per_atom": -4.78, "magnetic_moment_mub_per_cell": 1.1, "density_g_cm3": 6.4}



{"formula": "La2CeNdRh2", "functional": "GGA-PBE", "state": "optimized geometry", "lattice": [[-3.5935, 6.6985, 3.5340], [3.5935, -6.6985, 3.5340], [3.5935, 6.6985, -3.5340]], "species": ["La", "La", "La", "La", "Ce", "Ce", "Nd", "Nd", "Rh", "Rh", "Rh", "Rh"], "fractional_positions": [[0.1955, 0.2130, 0.4085], [0.3045, 0.7130, 0.0176], [0.6955, 0.2870, 0.9824], [0.8045, 0.7870, 0.5915], [0.2500, 0.2500, 0.0000], [0.7500, 0.7500, 0.0000], [0.2500, 0.7500, 0.5000], [0.7500, 0.2500, 0.5000], [0.1025, 0.7744, 0.8769], [0.3975, 0.2744, 0.6718], [0.6025, 0.7256, 0.3282], [0.8975, 0.2256, 0.1231]], "ef_ev_per_atom": -0.4982, "crystal_system": "orthorhombic", "dos_at_fermi_per_ev_cell": 16.5, "final_energy_ev_per_atom": -6.37, "magnetic_moment_mub_per_cell": 0.4, "density_g_cm3": 7.5}



{"formula": "La3Ce2NdS6", "functional": "GGA-PBE", "state": "optimized geometry", "lattice": [[3.5445, -6.1441, 0.0000], [3.5445, 6.1441, 0.0000], [-2.3718, 0.0000, 6.7116]], "species": ["La", "La", "La", "Ce", "Ce", "Nd", "S", "S", "S", "S", "S", "S"], "fractional_positions": [[0.0000, 0.0000, 0.0000], [0.3348, 0.6652, 0.0000], [0.6652, 0.3348, 0.0000], [0.1666, 0.8334, 0.5000], [0.8334, 0.1666, 0.5000], [0.5000, 0.5000, 0.5000], [0.0835, 0.4191, 0.2571], [0.2449, 0.2449, 0.7415], [0.4191, 0.0835, 0.2571], [0.5809, 0.9165, 0.7429], [0.7551, 0.7551, 0.2585], [0.9165, 0.5809, 0.7429]], "crystal_system": "monoclinic", "dos_at_fermi_per_ev_cell": 13.4, "final_energy_ev_per_atom": -6.78, "magnetic_moment_mub_per_cell": 1.6, "density_g_cm3": 5.9, "formation_energy_uncorrected_ev_per_atom": -2.1026}



{"formula": "LaCeNd2S4", "functional": "GGA-PBE", "state": "optimized geometry", "lattice": [[7.0644, 0.0000, 0.0000], [0.0000, 4.0722, 0.0000], [-2.3530, 0.0000, 6.6852]], "species": ["La", "Ce", "Nd", "Nd", "S", "S", "S", "S"], "fractional_positions": [[0.0000, 0.0000, 0.0000], [0.0000, 0.5000, 0.5000], [0.5000, 0.0000, 0.5000], [0.5000, 0.5000, 0.0000], [0.2494, 0.0000, 0.7461], [0.2523, 0.5000, 0.2546], [0.7477, 0.5000, 0.7454], [0.7506, 0.0000, 0.2539]], "crystal_system": "monoclinic", "dos_at_fermi_per_ev_cell": 8.1, "final_energy_ev_per_atom": -6.68, "magnetic_moment_mub_per_cell": 0.8, "density_g_cm3": 6.0, "formation_energy_uncorrected_ev_per_atom": -2.0677}



{"formula": "La2CeNdS4", "functional": "GGA-PBE", "state": "optimized geometry", "lattice": [[7.1049, 0.0000, 0.0000], [0.0000, 4.0913, 0.0000], [-2.3616, 0.0000, 6.7174]], "species": ["La", "La", "Ce", "Nd", "S", "S", "S", "S"], "fractional_positions": [[0.0000, 0.0000, 0.0000], [0.5000, 0.5000, 0.0000], [0.0000, 0.5000, 0.5000], [0.5000, 0.0000, 0.5000], [0.2460, 0.0000, 0.7423], [0.2505, 0.5000, 0.2565], [0.7495, 0.5000, 0.7435], [0.7540, 0.0000, 0.2577]], "crystal_system": "monoclinic", "dos_at_fermi_per_ev_cell": 8.1, "final_energy_ev_per_atom": -6.74, "magnetic_moment_mub_per_cell": 0.8, "density_g_cm3": 5.9, "formation_energy_uncorrected_ev_per_atom": -2.1027}



{"formula": "LaCe2NdS4", "functional": "GGA-PBE", "state": "optimized geometry", "lattice": [[7.0491, 0.0000, 0.0000], [0.0000, 4.0643, 0.0000], [-2.3449, 0.0000, 6.6643]], "species": ["La", "Ce", "Ce", "Nd", "S", "S", "S", "S"], "fractional_positions": [[0.0000, 0.0000, 0.0000], [0.0000, 0.5000, 0.5000], [0.5000, 0.0000, 0.5000], [0.5000, 0.5000, 0.0000], [0.2511, 0.0000, 0.7454], [0.2549, 0.5000, 0.2564], [0.7451, 0.5000, 0.7436], [0.7489, 0.0000, 0.2546]], "crystal_system": "monoclinic", "dos_at_fermi_per_ev_cell": 11.6, "final_energy_ev_per_atom": -6.83, "magnetic_moment_mub_per_cell": 1.6, "density_g_cm3": 6.0, "formation_energy_uncorrected_ev_per_atom": -2.0686}



{"formula": "La3CeNd2S6", "functional": "GGA-PBE", "state": "optimized geometry", "lattice": [[3.5513, -6.1587, 0.0000], [3.5513, 6.1587, 0.0000], [-2.3812, 0.0000, 6.7116]], "species": ["La", "La", "La", "Ce", "Nd", "Nd", "S", "S", "S", "S", "S", "S"], "fractional_positions": [[0.0000, 0.0000, 0.0000], [0.3318, 0.6682, 0.0000], [0.6682, 0.3318, 0.0000], [0.5000, 0.5000, 0.5000], [0.1668, 0.8332, 0.5000], [0.8332, 0.1668, 0.5000], [0.0882, 0.4190, 0.2571], [0.2505, 0.2505, 0.7445], [0.4190, 0.0882, 0.2571], [0.5810, 0.9118, 0.7429], [0.7495, 0.7495, 0.2555], [0.9118, 0.5810, 0.7429]], "crystal_system": "monoclinic", "dos_at_fermi_per_ev_cell": 10.1, "final_energy_ev_per_atom": -6.69, "magnetic_moment_mub_per_cell": 0.8, "density_g_cm3": 5.9, "formation_energy_uncorrected_ev_per_atom": -2.1037}



{"formula": "La2Ce3NdS6", "functional": "GGA-PBE", "state": "optimized geometry", "lattice": [[8.9002, -2.0373, 0.0000], [8.9002, 2.0373, 0.0000], [-1.9033, 0.0000, 7.9481]], "species": ["La", "La", "Ce", "Ce", "Ce", "Nd", "S", "S", "S", "S", "S", "S"], "fractional_positions": [[0.1661, 0.1661, 0.3325], [0.8339, 0.8339, 0.6675], [0.1670, 0.1670, 0.8337], [0.5000, 0.5000, 0.5000], [0.8330, 0.8330, 0.1663], [0.5000, 0.5000, 0.0000], [0.0024, 0.0024, 0.7494], [0.3331, 0.3331, 0.9224], [0.3350, 0.3350, 0.4122], [0.6650, 0.6650, 0.5878], [0.6669, 0.6669, 0.0776], [0.9976, 0.9976, 0.2506]], "crystal_system": "monoclinic", "dos_at_fermi_per_ev_cell": 18.1, "final_energy_ev_per_atom": -6.84, "magnetic_moment_mub_per_cell": 2.6, "density_g_cm3": 6.0, "formation_energy_uncorrected_ev_per_atom": -2.0778}



{"formula": "LaCe3Nd2S6", "functional": "GGA-PBE", "state": "optimized geometry", "lattice": [[3.5166, -6.0944, 0.0000], [3.5166, 6.0944, 0.0000], [-2.3505, 0.0000, 6.6477]], "species": ["La", "Ce", "Ce", "Ce", "Nd", "Nd", "S", "S", "S", "S", "S", "S"], "fractional_positions": [[0.0000, 0.0000, 0.0000], [0.1661, 0.8339, 0.5000], [0.5000, 0.5000, 0.5000], [0.8339, 0.1661, 0.5000], [0.3333, 0.6667, 0.0000], [0.6667, 0.3333, 0.0000], [0.0850, 0.4211, 0.2549], [0.2515, 0.2515, 0.7460], [0.4211, 0.0850, 0.2549], [0.5789, 0.9150, 0.7451], [0.7485, 0.7485, 0.2540], [0.9150, 0.5789, 0.7451]], "crystal_system": "monoclinic", "dos_at_fermi_per_ev_cell": 17.2, "final_energy_ev_per_atom": -6.81, "magnetic_moment_mub_per_cell": 2.5, "density_g_cm3": 6.1, "formation_energy_uncorrected_ev_per_atom": -2.0593}



{"formula": "La4CeNd3S8", "functional": "GGA-PBE", "state": "optimized geometry", "lattice": [[4.1053, 2.3702, 6.7151], [-4.1053, 2.3702, 6.7151], [0.0000, -4.7404, 6.7151]], "species": ["La", "La", "La", "La", "Ce", "Nd", "Nd", "Nd", "S", "S", "S", "S", "S", "S", "S", "S"], "fractional_positions": [[0.0000, 0.0000, 0.0000], [0.0000, 0.5000, 0.5000], [0.5000, 0.0000, 0.5000], [0.5000, 0.5000, 0.0000], [0.5000, 0.5000, 0.5000], [0.0000, 0.0000, 0.5000], [0.0000, 0.5000, 0.0000], [0.5000, 0.0000, 0.0000], [0.2483, 0.2483, 0.2483], [0.2498, 0.7467, 0.7467], [0.2533, 0.2533, 0.7502], [0.2533, 0.7502, 0.2533], [0.7467, 0.2498, 0.7467], [0.7467, 0.7467, 0.2498], [0.7502, 0.2533, 0.2533], [0.7517, 0.7517, 0.7517]], "crystal_system": "trigonal", "dos_at_fermi_per_ev_cell": 12.0, "final_energy_ev_per_atom": -6.66, "magnetic_moment_mub_per_cell": 0.7, "density_g_cm3": 5.9, "formation_energy_uncorrected_ev_per_atom": -2.1024}



{"formula": "La3CeNd4S8", "functional": "GGA-PBE", "state": "optimized geometry", "lattice": [[4.1007, 2.3675, 6.6798], [-4.1007, 2.3675, 6.6798], [0.0000, -4.7351, 6.6798]], "species": ["La", "La", "La", "Ce", "Nd", "Nd", "Nd", "Nd", "S", "S", "S", "S", "S", "S", "S", "S"], "fractional_positions": [[0.0000, 0.5000, 0.5000], [0.5000, 0.0000, 0.5000], [0.5000, 0.5000, 0.0000], [0.0000, 0.0000, 0.0000], [0.0000, 0.0000, 0.5000], [0.0000, 0.5000, 0.0000], [0.5000, 0.0000, 0.0000], [0.5000, 0.5000, 0.5000], [0.2451, 0.7515, 0.7515], [0.2483, 0.2483, 0.2483], [0.2485, 0.2485, 0.7549], [0.2485, 0.7549, 0.2485], [0.7515, 0.2451, 0.7515], [0.7515, 0.7515, 0.2451], [0.7517, 0.7517, 0.7517], [0.7549, 0.2485, 0.2485]], "crystal_system": "trigonal", "dos_at_fermi_per_ev_cell": 11.6, "final_energy_ev_per_atom": -6.63, "magnetic_moment_mub_per_cell": 0.8, "density_g_cm3": 5.9, "formation_energy_uncorrected_ev_per_atom": -2.0837}